# BaLi2Te, relaxed, DFT PBE
# * formation energy from raw total energies: -61.6 kJ per mole of atoms
data_BaLi2Te
_space_group_name_H-M_alt 'C m m 2'
_space_group_IT_number 35
_space_group_name_Hall 'C 2 -2'
_cell_length_a 5.8799
_cell_length_b 5.8902
_cell_length_c 7.5106
_cell_angle_alpha 90.00
_cell_angle_beta 90.00
_cell_angle_gamma 90.00
loop_
_atom_site_label
_atom_site_type_symbol
_atom_site_fract_x
_atom_site_fract_y
_atom_site_fract_z
_atom_site_occupancy
Ba1 Ba 0.0000 0.0000 0.0000 1
Li1 Li 0.0000 0.0000 0.4540 1
Li2 Li 0.0000 0.5000 0.6288 1
Te1 Te 0.0000 0.5000 0.2632 1

=====

# LiBPt2, relaxed, DFT PBE
# * calculated formation energy: -0.40 eV/atom
data_LiBPt2
_space_group_name_H-M_alt 'I -4 2 d'
_space_group_IT_number 122
_space_group_name_Hall 'I -4 2bw'
_cell_length_a 6.7650
_cell_length_b 6.7650
_cell_length_c 4.9453
_cell_angle_alpha 90.00
_cell_angle_beta 90.00
_cell_angle_gamma 90.00
loop_
_atom_site_label
_atom_site_type_symbol
_atom_site_fract_x
_atom_site_fract_y
_atom_site_fract_z
_atom_site_occupancy
Li1 Li 0.0000 0.0000 0.0000 1
B1 B 0.0000 0.0000 0.5000 1
Pt1 Pt 0.1446 0.2500 0.6250 1

=====

# Sb2TePtN, relaxed, DFT PBE
# * formation energy from raw total energies: 63.3 kJ per mole of atoms
# * ΔE to the lowest computed polymorph: 0.00 eV per formula unit
data_Sb2TePtN
_space_group_name_H-M_alt 'P 4/m m m'
_space_group_IT_number 123
_space_group_name_Hall '-P 4 2'
_cell_length_a 4.7254
_cell_length_b 4.7254
_cell_length_c 4.5600
_cell_angle_alpha 90.00
_cell_angle_beta 90.00
_cell_angle_gamma 90.00
loop_
_atom_site_label
_atom_site_type_symbol
_atom_site_fract_x
_atom_site_fract_y
_atom_site_fract_z
_atom_site_occupancy
Sb1 Sb 0.0000 0.5000 0.0000 1
Te1 Te 0.0000 0.0000 0.5000 1
Pt1 Pt 0.5000 0.5000 0.5000 1
N1 N 0.0000 0.0000 0.0000 1

=====

# La2Nd3HoS6, relaxed, DFT PBE
# * formation energy from raw total energies: -198.8 kJ per mole of atoms
data_La2Nd3HoS6
_space_group_name_H-M_alt 'C 1 2/m 1'
_space_group_IT_number 12
_space_group_name_Hall '-C 2y'
_cell_length_a 17.7058
_cell_length_b 4.0499
_cell_length_c 8.1885
_cell_angle_alpha 90.00
_cell_angle_beta 103.15
_cell_angle_gamma 90.00
loop_
_atom_site_label
_atom_site_type_symbol
_atom_site_fract_x
_atom_site_fract_y
_atom_site_fract_z
_atom_site_occupancy
La1 La 0.1661 0.0000 0.3340 1
Nd1 Nd 0.0000 0.5000 0.5000 1
Nd2 Nd 0.1690 0.0000 0.8344 1
Ho1 Ho 0.0000 0.5000 0.0000 1
S1 S 0.0025 0.0000 0.7639 1
S2 S 0.1611 0.5000 0.0777 1
S3 S 0.1656 0.5000 0.5867 1